Entry 1:
Entry from the Alexandria database: an optimized crystal structure of VTcAgP2 (PBE).

Cell lengths 4.6569, 4.6569, 4.7546 Å; angles 90.00, 90.00, 90.00 degrees
Closest atoms and distances in Å follow each position.
Positions (direct):
V (0.0000, 0.0000, 0.0000)  2 Ag 2.38
Tc (0.5000, 0.5000, 0.0000)  4 V 3.29, 8 P 3.33
Ag (0.0000, 0.0000, 0.5000)  4 P 2.33, 2 V 2.38
P (0.0000, 0.5000, 0.5000)  2 Ag 2.33
P (0.5000, 0.0000, 0.5000)  2 Ag 2.33

Values from the calculation:
For the formation energy, the calculation gives 1.88 eV/atom.

Entry 2:
Entry from the Alexandria database: an optimized crystal structure of YTcAgP2 (PBE).

Cell lengths 4.5473, 4.5473, 5.1226 Å; angles 90.00, 90.00, 90.00 degrees
Closest atoms and distances in Å follow each position.
Positions (direct):
Y (0.0000, 0.0000, 0.0000)  4 Ag 3.22, 8 P 3.42
Tc (0.5000, 0.5000, 0.5000)  4 P 2.27
Ag (0.5000, 0.5000, 0.0000)  2 Tc 2.56
P (0.0000, 0.5000, 0.5000)  2 Tc 2.27
P (0.5000, 0.0000, 0.5000)  2 Tc 2.27

Values from the calculation:
For the formation energy, the calculation gives 0.00 eV/atom.

Entry 3:
Entry from the Alexandria database: an optimized crystal structure of ZrTc2AgP (PBE).

Cell lengths 4.8166, 4.8166, 5.0629 Å; angles 90.00, 90.00, 90.00 degrees
Closest atoms and distances in Å follow each position.
Positions (direct):
Zr (0.0000, 0.0000, 0.0000)  2 Ag 2.53
Tc (0.0000, 0.5000, 0.5000)  2 Ag 2.41
Tc (0.5000, 0.0000, 0.5000)  2 Ag 2.41
Ag (0.0000, 0.0000, 0.5000)  4 Tc 2.41, 2 Zr 2.53
P (0.5000, 0.5000, 0.0000)  4 Zr 3.41, 8 Tc 3.49

Values from the calculation:
For the formation energy, the calculation gives 1.97 eV/atom.

Entry 4:
Entry from the Alexandria database: an optimized crystal structure of AgTeP (PBE).

Cell lengths 10.5355, 3.5602, 7.8666 Å; angles 90.00, 90.00, 90.00 degrees
Closest atoms and distances in Å follow each position.
Positions (direct):
Ag (0.1731, 0.2500, 0.0336)  3 P 2.45-2.69
Ag (0.3269, 0.7500, 0.5336)  3 P 2.45-2.69
Ag (0.6731, 0.2500, 0.4664)  3 P 2.45-2.69
Ag (0.8269, 0.7500, 0.9664)  3 P 2.45-2.69
Te (0.0073, 0.2500, 0.7206)  2 P 2.60
Te (0.4927, 0.7500, 0.2206)  2 P 2.60
Te (0.5073, 0.2500, 0.7794)  2 P 2.60
Te (0.9927, 0.7500, 0.2794)  2 P 2.60
P (0.1825, 0.7500, 0.7777)  3 Ag 2.45-2.69, 2 Te 2.60
P (0.3175, 0.2500, 0.2777)  3 Ag 2.45-2.69, 2 Te 2.60
P (0.6825, 0.7500, 0.7223)  3 Ag 2.45-2.69, 2 Te 2.60
P (0.8175, 0.2500, 0.2223)  3 Ag 2.45-2.69, 2 Te 2.60

Values from the calculation:
The energy above the lowest structure with this stoichiometry comes out at 0.025 eV/atom. For the uncorrected formation energy, the calculation gives 25.13 kJ/mol of atoms.

Entry 5:
Entry from the Alexandria database: an optimized crystal structure of AgTe2P (PBE).

Cell lengths 4.6387, 4.6456, 5.2255 Å; angles 90.00, 90.00, 90.00 degrees
Closest atoms and distances in Å follow each position.
Positions (direct):
Ag (0.0000, 0.0000, 0.0000)  4 Te 2.79
Te (0.0000, 0.5000, 0.7052)  2 Ag 2.79, 2 P 2.79
Te (0.5000, 0.0000, 0.2961)  2 P 2.79, 2 Ag 2.79
P (0.5000, 0.5000, 0.0011)  4 Te 2.79

Values from the calculation:
For the uncorrected formation energy, the calculation gives 22.40 kJ/mol of atoms.

Entry 6:
Entry from the Alexandria database: an optimized crystal structure of AgTe3P (PBE).

Cell lengths 5.2625, 5.2625, 5.2625 Å; angles 90.00, 90.00, 90.00 degrees
Closest atoms and distances in Å follow each position.
Positions (direct):
Ag (0.0000, 0.0000, 0.0000)  12 Te 3.72
Te (0.0000, 0.5000, 0.5000)  2 P 2.63
Te (0.5000, 0.0000, 0.5000)  2 P 2.63
Te (0.5000, 0.5000, 0.0000)  2 P 2.63
P (0.5000, 0.5000, 0.5000)  6 Te 2.63

Values from the calculation:
The energy above the lowest structure with this stoichiometry comes out at 0.000 eV/atom. For the uncorrected formation energy, the calculation gives 51.85 kJ/mol of atoms.

Entry 7:
Entry from the Alexandria database: an optimized crystal structure of Ag3Te4P (PBE).

Cell lengths 8.8194, 7.6803, 7.3417 Å; angles 90.00, 90.00, 90.00 degrees
Closest atoms and distances in Å follow each position.
Positions (direct):
Ag (0.0000, 0.1471, 0.0000)  4 Te 2.80-2.85
Ag (0.2388, 0.3143, 0.4672)  4 Te 2.77-2.82
Ag (0.2612, 0.6857, 0.9672)  4 Te 2.77-2.82
Ag (0.5000, 0.8529, 0.5000)  4 Te 2.80-2.85
Ag (0.7388, 0.6857, 0.9672)  4 Te 2.77-2.82
Ag (0.7612, 0.3143, 0.4672)  4 Te 2.77-2.82
Te (0.0000, 0.1255, 0.6130)  1 P 2.51, 2 Ag 2.77
Te (0.0000, 0.8084, 0.1398)  1 P 2.53, 3 Ag 2.79-2.80
Te (0.2341, 0.6620, 0.5916)  1 P 2.54, 2 Ag 2.77-2.82
Te (0.2659, 0.3380, 0.0916)  1 P 2.54, 2 Ag 2.77-2.82
Te (0.5000, 0.1916, 0.6398)  1 P 2.53, 3 Ag 2.79-2.80
Te (0.5000, 0.8745, 0.1130)  1 P 2.51, 2 Ag 2.77
Te (0.7341, 0.3380, 0.0916)  1 P 2.54, 2 Ag 2.77-2.82
Te (0.7659, 0.6620, 0.5916)  1 P 2.54, 2 Ag 2.77-2.82
P (0.0000, 0.8233, 0.4834)  4 Te 2.51-2.54
P (0.5000, 0.1767, 0.9834)  4 Te 2.51-2.54

Values from the calculation:
For the uncorrected formation energy, the calculation gives 1.85 kJ/mol of atoms.

Entry 8:
Entry from the Alexandria database: an optimized crystal structure of AgTe2P (PBE).

Cell lengths 8.1299, 8.1299, 8.1299 Å; angles 136.09, 136.09, 63.84 degrees
Closest atoms and distances in Å follow each position.
Positions (direct):
Ag (0.0000, 0.0000, 0.0000)  4 Te 2.83
Ag (0.7500, 0.2500, 0.5000)  4 Te 2.83
Te (0.1463, 0.6250, 0.0213)  2 P 2.69, 2 Ag 2.83
Te (0.3750, 0.3963, 0.5213)  2 P 2.69, 2 Ag 2.83
Te (0.6037, 0.1250, 0.9787)  2 P 2.69, 2 Ag 2.83
Te (0.8750, 0.8537, 0.4787)  2 P 2.69, 2 Ag 2.83
P (0.2500, 0.7500, 0.5000)  4 Te 2.69
P (0.5000, 0.5000, 0.0000)  4 Te 2.69

Values from the calculation:
For the uncorrected formation energy, the calculation gives 20.42 kJ/mol of atoms.

The records above give, respectively, D(E_F) values of 7.1 3.2 5.8 4.7 0.8 3.5 1.2 0.2 states/eV per cell.
The records above give, respectively, magnetic moment values of 3.14 0.00 4.24 0.00 0.00 0.00 0.00 0.00 μB/cell.
The records above give, respectively, ρ values of 5.13 5.59 6.02 6.00 5.81 5.94 5.78 5.13 Mg/m³.